[1]
! CaInAg2 | Alexandria | PBEsol | optimized geometry; values from VASP
&SYSTEM
  ibrav = 0, nat = 4, ntyp = 3
/
ATOMIC_SPECIES
Ca 40.08 Ca.upf
Ag 107.87 Ag.upf
In 114.82 In.upf
CELL_PARAMETERS angstrom
3.967 0.000 0.000
0.000 4.630 0.000
0.000 0.000 4.630
ATOMIC_POSITIONS crystal
Ca 0.500 0.500 0.500
Ag 0.000 0.000 0.500
Ag 0.000 0.500 0.000
In 0.500 0.000 0.000
! * VASP energy: -0.11559 hartree per atom
! * magnetic moment: 0.00 μB/cell

[2]
! BAsI2Br | Alexandria | PBEsol | optimized geometry; values from VASP
&SYSTEM
  ibrav = 0, nat = 5, ntyp = 4
/
ATOMIC_SPECIES
I 126.90 I.upf
As 74.92 As.upf
B 10.81 B.upf
Br 79.90 Br.upf
CELL_PARAMETERS angstrom
4.221 0.000 0.000
0.000 5.688 0.000
0.000 0.000 5.688
ATOMIC_POSITIONS crystal
I 0.000 0.000 0.500
I 0.000 0.500 0.000
As 0.000 0.000 0.000
B 0.500 0.000 0.000
Br 0.500 0.500 0.500
! * VASP energy: -0.09748 hartree per atom
! * magnetic moment: 0.00 μB/cell
! * formation energy without anion corrections: 853 meV per atom

[3]
! PIrRu2 | Alexandria | PBEsol | optimized geometry; values from VASP
&SYSTEM
  ibrav = 0, nat = 4, ntyp = 3
/
ATOMIC_SPECIES
Ir 192.22 Ir.upf
P 30.97 P.upf
Ru 101.07 Ru.upf
CELL_PARAMETERS angstrom
2.746 0.000 0.000
1.373 2.378 0.000
1.373 0.793 8.003
ATOMIC_POSITIONS crystal
Ir 0.500 0.500 0.500
P 0.000 0.000 0.000
Ru 0.259 0.259 0.223
Ru 0.741 0.741 0.777
! * VASP energy: -0.33661 hartree per atom
! * magnetic moment: 0.00 μB/cell

[4]
! SrRe3 | Alexandria | PBEsol | optimized geometry; values from VASP
&SYSTEM
  ibrav = 0, nat = 4, ntyp = 2
/
ATOMIC_SPECIES
Re 186.21 Re.upf
Sr 87.62 Sr.upf
CELL_PARAMETERS angstrom
-1.271 -2.479 0.292
4.265 -1.974 1.806
-2.907 3.507 3.682
ATOMIC_POSITIONS crystal
Re 0.215 0.215 0.431
Re 0.785 0.785 0.569
Re 0.500 0.000 0.000
Sr 0.000 0.500 0.000
! * VASP energy: -0.34902 hartree per atom
! * magnetic moment: 0.00 μB/cell
! * energy above the most stable polymorph in this dataset: 212 meV per atom

[5]
! LiCuI2 | Alexandria | PBEsol | optimized geometry; values from VASP
&SYSTEM
  ibrav = 0, nat = 8, ntyp = 3
/
ATOMIC_SPECIES
I 126.90 I.upf
Cu 63.55 Cu.upf
Li 6.94 Li.upf
CELL_PARAMETERS angstrom
-3.870 2.689 3.954
2.457 -3.246 4.613
4.745 4.689 -3.331
ATOMIC_POSITIONS crystal
I 0.895 0.375 0.250
I 0.355 0.875 0.250
I 0.625 0.645 0.750
I 0.125 0.105 0.750
Cu 0.250 0.750 0.500
Cu 0.000 0.000 0.000
Li 0.750 0.250 0.500
Li 0.500 0.500 0.000
! * VASP energy: -0.11405 hartree per atom
! * magnetic moment: 0.00 μB/cell
! * formation energy without anion corrections: -645 meV per atom

[6]
! RbFe2RuRh | Alexandria | PBEsol | optimized geometry; values from VASP
&SYSTEM
  ibrav = 0, nat = 5, ntyp = 4
/
ATOMIC_SPECIES
Ru 101.07 Ru.upf
Rh 102.91 Rh.upf
Fe 55.84 Fe.upf
Rb 85.47 Rb.upf
CELL_PARAMETERS angstrom
-0.382 -0.395 4.376
-3.659 -2.404 -0.536
2.524 -3.814 -0.123
ATOMIC_POSITIONS crystal
Ru 0.500 0.500 0.500
Rh 0.000 0.000 0.500
Fe 0.000 0.500 0.000
Fe 0.500 0.000 0.000
Rb 0.000 0.000 0.000
! * VASP energy: -0.16710 hartree per atom
! * magnetic moment: 7.20 μB/cell

> Among the records above, which one has the highest VASP energy?

BAsI2Br